(1)
This record from Alexandria describes an optimized crystal structure of CsTm2P2N6. The functional is PBE.

Geometry as POSCAR:
```
CsTm2P2N6
1.0
-4.042 2.927 3.637
-6.329 -0.617 -1.295
2.147 -3.195 4.957
Cs Tm P N
1 2 2 6
Direct
0.500 0.000 0.500
0.823 0.355 0.801
0.177 0.645 0.199
0.150 0.701 0.763
0.850 0.299 0.237
0.406 0.612 0.844
0.019 0.388 0.156
0.064 0.873 0.631
0.981 0.612 0.844
0.936 0.127 0.369
0.594 0.388 0.156
```

Output
- total DFT energy (no corrections) (eV/atom) = -7.166
- total moment (Bohr magnetons per cell) = 0.0
- SG = No. 12
- energy relative to the elements, uncorrected (meV/atom) = -751.0

(2)
This record from Alexandria describes an optimized crystal structure of LiTlRu2. The functional is PBE.

Geometry as POSCAR:
```
LiTlRu2
1.0
4.967 -0.002 0.000
-2.376 4.361 0.000
0.000 0.000 2.985
Li Ru Tl
1 2 1
Direct
0.000 0.500 0.500
0.000 0.000 0.000
0.500 0.500 0.000
0.500 0.000 0.500
```

Output
- total DFT energy (no corrections) (eV/atom) = -5.184
- E above lowest polymorph (meV/atom) = 293.1
- total moment (Bohr magnetons per cell) = 0.0
- SG = No. 65